[1]
# CsWBr6, relaxed, DFT PBE-GGA
# * crystal system: monoclinic
# * size of the total moment: 1.03 μB per formula unit
# * E: -121.23 eV for the cell shown
data_CsWBr6
_chemical_formula_sum 'Cs4 W4 Br24'
_space_group_name_H-M_alt 'C 1 2/c 1'
_space_group_IT_number 15
_cell_length_a 12.666
_cell_length_b 6.638
_cell_length_c 12.930
_cell_angle_alpha 90.00
_cell_angle_beta 101.96
_cell_angle_gamma 90.00
loop_
_space_group_symop_operation_xyz
'x,y,z'
'-x,-y,-z'
'-x,y,-z+1/2'
'x,-y,z+1/2'
'x+1/2,y+1/2,z'
'-x+1/2,-y+1/2,-z'
'-x+1/2,y+1/2,-z+1/2'
'x+1/2,-y+1/2,z+1/2'
loop_
_atom_site_label
_atom_site_type_symbol
_atom_site_fract_x
_atom_site_fract_y
_atom_site_fract_z
Cs1 Cs 0.000 0.106 0.250
W1 W 0.250 0.250 0.000
Br1 Br 0.075 0.388 0.896
Br2 Br 0.154 0.060 0.540
Br3 Br 0.214 0.419 0.163

[2]
# Cs2ZnBr4, relaxed, DFT PBE-GGA
# * crystal system: orthorhombic
# * E: -79.73 eV for the cell shown
data_Cs2ZnBr4
_chemical_formula_sum 'Cs8 Zn4 Br16'
_space_group_name_H-M_alt 'P n m a'
_space_group_IT_number 62
_cell_length_a 10.405
_cell_length_b 7.761
_cell_length_c 13.861
_cell_angle_alpha 90.00
_cell_angle_beta 90.00
_cell_angle_gamma 90.00
loop_
_space_group_symop_operation_xyz
'x,y,z'
'-x,-y,-z'
'-x+1/2,-y,z+1/2'
'x+1/2,y,-z+1/2'
'x+1/2,-y+1/2,-z+1/2'
'-x+1/2,y+1/2,z+1/2'
'-x,y+1/2,-z'
'x,-y+1/2,z'
loop_
_atom_site_label
_atom_site_type_symbol
_atom_site_fract_x
_atom_site_fract_y
_atom_site_fract_z
Cs1 Cs 0.022 0.250 0.169
Cs2 Cs 0.137 0.750 0.399
Zn1 Zn 0.235 0.750 0.076
Br1 Br 0.003 0.750 0.098
Br2 Br 0.173 0.503 0.654
Br3 Br 0.191 0.250 0.410